# Li3Mn2CoO6, relaxed, DFT PBE+U
# M_tot   8.0 μB/cell
# Distance to the lowest polymorph of the same formula   0.009 eV/atom
# Energy   -0.23104 Ha/atom
data_Li3Mn2CoO6
_symmetry_space_group_name_H-M 'P -1'
_symmetry_Int_Tables_number 2
_symmetry_space_group_name_Hall '-P 1'
_cell_length_a 2.9959
_cell_length_b 5.1064
_cell_length_c 7.6111
_cell_angle_alpha 72.48
_cell_angle_beta 82.29
_cell_angle_gamma 87.54
loop_
_atom_site_label
_atom_site_type_symbol
_atom_site_fract_x
_atom_site_fract_y
_atom_site_fract_z
Li1 Li 0.0000 0.0000 0.0000
Li2 Li 0.3136 0.9920 0.3393
Mn1 Mn 0.1507 0.4935 0.6730
Co1 Co 0.5000 0.5000 0.0000
O1 O 0.0390 0.7077 0.8502
O2 O 0.2271 0.2642 0.5014
O3 O 0.4580 0.7354 0.1618